No. 1
Here is crystalline LaP2Ir3 at its relaxed geometry from the Alexandria database. Energies are from PBE.

- Density: 12.9 g cm⁻³
- ΔE_f: -852.6 meV/atom

Structure (POSCAR):
```
LaP2Ir3
1.0
8.074 -1.985 0.000
8.074 1.985 0.000
-3.019 0.000 9.364
La P Ir
3 6 9
Direct
0.000 0.000 0.000
0.152 0.152 0.693
0.848 0.848 0.307
0.202 0.202 0.133
0.365 0.365 0.550
0.464 0.464 0.224
0.536 0.536 0.776
0.635 0.635 0.450
0.798 0.798 0.867
0.047 0.047 0.328
0.227 0.227 0.396
0.325 0.325 0.050
0.366 0.366 0.788
0.500 0.500 0.500
0.634 0.634 0.212
0.675 0.675 0.950
0.773 0.773 0.604
0.953 0.953 0.672
```

No. 2
Here is crystalline ZrCd2HgI at its relaxed geometry from the Alexandria database. Energies are from PBE.

- Final energy: -10.037 eV/f.u.
- Density: 6.6 g cm⁻³

Structure (POSCAR):
```
ZrCd2HgI
1.0
5.333 0.000 0.000
0.000 5.333 0.000
0.000 0.000 5.669
Zr Cd Hg I
1 2 1 1
Direct
0.000 0.000 0.000
0.000 0.500 0.500
0.500 0.000 0.500
0.000 0.000 0.500
0.500 0.500 0.000
```

No. 3
Here is crystalline ThTlAu at its relaxed geometry from the Alexandria database. Energies are from PBE.

- Density: 13.5 g cm⁻³
- ΔE_f: -310.3 meV/atom

Structure (POSCAR):
```
ThTlAu
1.0
3.633 0.000 0.000
0.000 3.633 0.000
0.000 0.000 11.772
Th Tl Au
2 2 2
Direct
0.000 0.000 0.000
0.500 0.500 0.500
0.000 0.000 0.303
0.500 0.500 0.803
0.000 0.000 0.650
0.500 0.500 0.150
```

No. 4
Here is crystalline HfTaNb2 at its relaxed geometry from the Alexandria database. Energies are from PBE.

- ΔE to the lowest computed polymorph: 583 meV/atom
- Density: 11.2 g cm⁻³
- ΔE_f: 617.8 meV/atom

Structure (POSCAR):
```
HfTaNb2
1.0
7.487 0.000 0.000
0.000 7.487 0.000
0.000 0.000 5.748
Hf Ta Nb
4 4 8
Direct
0.000 0.000 0.000
0.000 0.500 0.250
0.500 0.000 0.750
0.500 0.500 0.500
0.000 0.000 0.500
0.000 0.500 0.750
0.500 0.000 0.250
0.500 0.500 0.000
0.238 0.750 0.625
0.250 0.238 0.375
0.250 0.262 0.875
0.262 0.750 0.125
0.738 0.250 0.125
0.750 0.738 0.875
0.750 0.762 0.375
0.762 0.250 0.625
```

No. 5
Here is crystalline Mg4Hg5 at its relaxed geometry from the Alexandria database. Energies are from PBE.

- ΔE to the lowest computed polymorph: 14 meV/atom
- Density: 9.1 g cm⁻³
- ΔE_f: -149.6 meV/atom

Structure (POSCAR):
```
Mg4Hg5
1.0
6.374 -4.775 0.000
6.374 4.775 0.000
-0.854 0.000 3.300
Mg Hg
4 5
Direct
0.151 0.151 0.149
0.215 0.481 0.849
0.519 0.785 0.151
0.849 0.849 0.851
0.184 0.816 0.500
0.476 0.109 0.788
0.531 0.469 0.500
0.835 0.165 0.500
0.891 0.524 0.212
```

No. 6
Here is crystalline MnSiSe3 at its relaxed geometry from the Alexandria database. Energies are from PBE.

- ΔE to the lowest computed polymorph: 0 meV/atom
- Density: 4.7 g cm⁻³

Structure (POSCAR):
```
MnSiSe3
1.0
4.835 0.000 0.000
0.000 4.835 0.000
0.000 0.000 4.835
Mn Si Se
1 1 3
Direct
0.000 0.000 0.000
0.500 0.500 0.500
0.000 0.500 0.500
0.500 0.000 0.500
0.500 0.500 0.000
```

No. 7
Here is crystalline Tb2Al3Au4 at its relaxed geometry from the Alexandria database. Energies are from PBE.

- Density: 11.1 g cm⁻³
- ΔE_f: -700.0 meV/atom

Structure (POSCAR):
```
Tb2Al3Au4
1.0
2.913 -7.852 0.000
2.913 7.852 0.000
0.000 0.000 7.733
Tb Al Au
4 6 8
Direct
0.106 0.894 0.905
0.394 0.606 0.405
0.606 0.394 0.595
0.894 0.106 0.095
0.000 0.000 0.500
0.020 0.480 0.750
0.480 0.020 0.250
0.500 0.500 0.000
0.520 0.980 0.750
0.980 0.520 0.250
0.180 0.820 0.528
0.191 0.309 0.750
0.309 0.191 0.250
0.320 0.680 0.028
0.680 0.320 0.972
0.691 0.809 0.750
0.809 0.691 0.250
0.820 0.180 0.472
```

No. 8
Here is crystalline TbSc2 at its relaxed geometry from the Alexandria database. Energies are from PBE.

- ΔE to the lowest computed polymorph: 0 meV/atom
- Density: 5.1 g cm⁻³
- ΔE_f: 27.5 meV/atom

Structure (POSCAR):
```
TbSc2
1.0
3.415 0.000 0.000
0.000 17.738 0.000
0.000 0.000 5.339
Tb Sc
4 8
Direct
0.000 0.111 0.250
0.000 0.889 0.750
0.500 0.389 0.750
0.500 0.611 0.250
0.000 0.222 0.750
0.000 0.443 0.250
0.000 0.557 0.750
0.000 0.778 0.250
0.500 0.057 0.750
0.500 0.278 0.250
0.500 0.722 0.750
0.500 0.943 0.250
```

No. 9
Here is crystalline La2ScMn2 at its relaxed geometry from the Alexandria database. Energies are from PBE.

- Density: 5.7 g cm⁻³
- ΔE_f: 228.4 meV/atom

Structure (POSCAR):
```
La2ScMn2
1.0
7.635 0.000 0.000
0.000 7.635 0.000
0.000 0.000 4.325
La Sc Mn
4 2 4
Direct
0.171 0.329 0.000
0.329 0.829 0.000
0.671 0.171 0.000
0.829 0.671 0.000
0.000 0.000 0.500
0.500 0.500 0.500
0.124 0.624 0.500
0.376 0.124 0.500
0.624 0.876 0.500
0.876 0.376 0.500
```

No. 10
Here is crystalline Ce2Pm5Ni4 at its relaxed geometry from the Alexandria database. Energies are from PBE.

- Density: 7.3 g cm⁻³
- ΔE_f: -153.8 meV/atom

Structure (POSCAR):
```
Ce2Pm5Ni4
1.0
11.226 -1.927 0.000
11.226 1.927 0.000
-1.728 0.000 6.496
Ce Pm Ni
2 5 4
Direct
0.079 0.079 0.062
0.921 0.921 0.938
0.000 0.000 0.500
0.286 0.286 0.851
0.358 0.358 0.424
0.642 0.642 0.576
0.714 0.714 0.149
0.213 0.213 0.428
0.489 0.489 0.804
0.511 0.511 0.196
0.787 0.787 0.572
```

No. 11
Here is crystalline KBa3In at its relaxed geometry from the Alexandria database. Energies are from PBE.

- ΔE to the lowest computed polymorph: 705 meV/atom
- Density: 3.1 g cm⁻³
- ΔE_f: 659.8 meV/atom

Structure (POSCAR):
```
KBa3In
1.0
6.708 0.000 0.000
0.000 6.708 0.000
0.000 0.000 6.708
K Ba In
1 3 1
Direct
0.000 0.000 0.000
0.000 0.000 0.500
0.000 0.500 0.000
0.500 0.000 0.000
0.500 0.500 0.500
```

No. 12
Here is crystalline TeOsBrF2 at its relaxed geometry from the Alexandria database. Energies are from PBE.

- Final energy: -20.054 eV/f.u.
- Density: 7.5 g cm⁻³

Structure (POSCAR):
```
TeOsBrF2
1.0
4.148 0.000 0.000
0.000 4.148 0.000
0.000 0.000 5.588
Te Os Br F
1 1 1 2
Direct
0.000 0.000 0.000
0.500 0.500 0.500
0.500 0.500 0.000
0.000 0.500 0.500
0.500 0.000 0.500
```

No. 13
Here is crystalline Na3Mn3MoS8 at its relaxed geometry from the Alexandria database. Energies are from PBE.

- Final energy: -86.327 eV/f.u.
- Density: 3.4 g cm⁻³

Structure (POSCAR):
```
Na3Mn3MoS8
1.0
3.512 2.028 6.731
-3.512 2.028 6.731
0.000 -4.055 6.731
Na Mn Mo S
3 3 1 8
Direct
0.000 0.500 0.500
0.500 0.000 0.500
0.500 0.500 0.000
0.000 0.000 0.500
0.000 0.500 0.000
0.500 0.000 0.000
0.500 0.500 0.500
0.227 0.737 0.737
0.235 0.235 0.235
0.263 0.263 0.773
0.263 0.773 0.263
0.737 0.227 0.737
0.737 0.737 0.227
0.765 0.765 0.765
0.773 0.263 0.263
```

No. 14
Here is crystalline MnFeSbI2 at its relaxed geometry from the Alexandria database. Energies are from PBE.

- ΔE to the lowest computed polymorph: 123 meV/atom
- Density: 5.1 g cm⁻³

Structure (POSCAR):
```
MnFeSbI2
1.0
5.474 0.000 0.000
0.000 5.474 0.000
0.000 0.000 5.319
Mn Fe Sb I
1 1 1 2
Direct
0.000 0.000 0.000
0.500 0.500 0.500
0.000 0.000 0.500
0.000 0.500 0.000
0.500 0.000 0.000
```

No. 15
Here is crystalline Zr3Au5 at its relaxed geometry from the Alexandria database. Energies are from PBE.

- Density: 13.2 g cm⁻³
- ΔE_f: -410.5 meV/atom

Structure (POSCAR):
```
Zr3Au5
1.0
6.976 0.000 0.000
0.000 9.517 0.000
0.000 0.000 4.781
Zr Au
6 10
Direct
0.000 0.000 0.000
0.000 0.282 0.500
0.000 0.718 0.500
0.500 0.218 0.500
0.500 0.500 0.000
0.500 0.782 0.500
0.000 0.500 0.000
0.213 0.000 0.500
0.250 0.250 0.000
0.250 0.750 0.000
0.287 0.500 0.500
0.500 0.000 0.000
0.713 0.500 0.500
0.750 0.250 0.000
0.750 0.750 0.000
0.787 0.000 0.500
```

No. 16
Here is crystalline KCu2Br at its relaxed geometry from the Alexandria database. Energies are from PBE.

- ΔE to the lowest computed polymorph: 653 meV/atom
- Density: 4.3 g cm⁻³

Structure (POSCAR):
```
KCu2Br
1.0
7.221 0.000 0.000
0.000 7.221 0.000
0.000 0.000 7.221
K Cu Br
4 8 4
Direct
0.000 0.000 0.000
0.000 0.500 0.500
0.500 0.000 0.500
0.500 0.500 0.000
0.250 0.250 0.250
0.250 0.250 0.750
0.250 0.750 0.250
0.250 0.750 0.750
0.750 0.250 0.250
0.750 0.250 0.750
0.750 0.750 0.250
0.750 0.750 0.750
0.000 0.000 0.500
0.000 0.500 0.000
0.500 0.000 0.000
0.500 0.500 0.500
```

No. 17
Here is crystalline TaAu2I at its relaxed geometry from the Alexandria database. Energies are from PBE.

- ΔE to the lowest computed polymorph: 338 meV/atom
- Density: 13.7 g cm⁻³

Structure (POSCAR):
```
TaAu2I
1.0
6.984 0.000 0.000
0.000 6.984 0.000
0.000 0.000 6.984
Ta Au I
4 8 4
Direct
0.000 0.000 0.000
0.000 0.500 0.500
0.500 0.000 0.500
0.500 0.500 0.000
0.250 0.250 0.250
0.250 0.250 0.750
0.250 0.750 0.250
0.250 0.750 0.750
0.750 0.250 0.250
0.750 0.250 0.750
0.750 0.750 0.250
0.750 0.750 0.750
0.000 0.000 0.500
0.000 0.500 0.000
0.500 0.000 0.000
0.500 0.500 0.500
```

No. 18
Here is crystalline CdHg4Br2 at its relaxed geometry from the Alexandria database. Energies are from PBE.

- Final energy: -7.011 eV/f.u.
- Density: 6.7 g cm⁻³

Structure (POSCAR):
```
CdHg4Br2
1.0
5.895 0.000 0.000
0.000 5.895 0.000
0.000 0.000 15.378
Cd Hg Br
2 8 4
Direct
0.000 0.000 0.000
0.500 0.500 0.500
0.000 0.000 0.175
0.000 0.000 0.825
0.000 0.500 0.000
0.000 0.500 0.500
0.500 0.000 0.000
0.500 0.000 0.500
0.500 0.500 0.325
0.500 0.500 0.675
0.000 0.000 0.345
0.000 0.000 0.655
0.500 0.500 0.155
0.500 0.500 0.845
```

No. 19
Here is crystalline LiIr2Br at its relaxed geometry from the Alexandria database. Energies are from PBE.

- ΔE to the lowest computed polymorph: 249 meV/atom
- Density: 12.2 g cm⁻³

Structure (POSCAR):
```
LiIr2Br
1.0
5.345 0.000 0.000
0.000 9.829 0.000
-1.583 0.000 2.449
Li Ir Br
2 4 2
Direct
0.000 0.000 0.000
0.500 0.500 0.000
0.250 0.250 0.500
0.250 0.750 0.500
0.750 0.250 0.500
0.750 0.750 0.500
0.000 0.500 0.000
0.500 0.000 0.000
```

No. 20
Here is crystalline La4Tb3Y8 at its relaxed geometry from the Alexandria database. Energies are from PBE.

- ΔE to the lowest computed polymorph: 236 meV/atom
- Density: 5.6 g cm⁻³
- ΔE_f: 350.0 meV/atom

Structure (POSCAR):
```
La4Tb3Y8
1.0
6.808 -6.471 0.000
6.808 6.471 0.000
-3.407 0.000 5.914
La Tb Y
4 3 8
Direct
0.000 0.000 0.000
0.000 0.000 0.500
0.000 0.500 0.000
0.500 0.000 0.000
0.000 0.500 0.500
0.500 0.000 0.500
0.500 0.500 0.000
0.256 0.744 0.000
0.268 0.268 0.512
0.272 0.272 0.036
0.361 0.639 0.500
0.639 0.361 0.500
0.728 0.728 0.964
0.732 0.732 0.488
0.744 0.256 0.000
```